(1)
Compound: Cs2LiSbF6
Source: the Alexandria database
Functional: PBEsol
Structure: relaxed

Cell lengths 6.209, 6.209, 6.209 Å; angles 60.00, 60.00, 60.00 degrees
Fractional coordinates of all 10 atoms:
Cs 0.250 0.250 0.250
Cs 0.750 0.750 0.750
Li 0.000 0.000 0.000
Sb 0.500 0.500 0.500
F 0.248 0.248 0.752
F 0.248 0.752 0.248
F 0.248 0.752 0.752
F 0.752 0.248 0.248
F 0.752 0.248 0.752
F 0.752 0.752 0.248

- Spin magnetization: 0.00 μB/atom
- Crystal system: cubic
- E_form (uncorrected): -2.656 eV/atom

(2)
Compound: Cs3MgF
Source: the Alexandria database
Functional: PBEsol
Structure: relaxed

Cell lengths 7.288, 7.288, 7.288 Å; angles 90.00, 90.00, 90.00 degrees
Fractional coordinates of all 5 atoms:
Cs 0.000 0.000 0.500
Cs 0.000 0.500 0.000
Cs 0.500 0.000 0.000
Mg 0.000 0.000 0.000
F 0.500 0.500 0.500

- Spin magnetization: 0.00 μB/atom
- Crystal system: cubic
- E_form (uncorrected): -0.289 eV/atom

(3)
Compound: CsMgRuF2
Source: the Alexandria database
Functional: PBEsol
Structure: relaxed

Cell lengths 4.944, 4.944, 5.174 Å; angles 90.00, 90.00, 90.00 degrees
Fractional coordinates of all 5 atoms:
Cs 0.000 0.000 0.000
Mg 0.500 0.500 0.500
Ru 0.000 0.000 0.500
F 0.000 0.500 0.000
F 0.500 0.000 0.000

- Spin magnetization: 0.39 μB/atom
- Crystal system: tetragonal
- E_form (uncorrected): 0.129 eV/atom

(4)
Compound: Cs2MnF6
Source: the Alexandria database
Functional: PBEsol
Structure: relaxed

Cell lengths 6.250, 6.250, 6.250 Å; angles 60.00, 60.00, 60.00 degrees
Fractional coordinates of all 9 atoms:
Cs 0.250 0.250 0.250
Cs 0.750 0.750 0.750
Mn 0.000 0.000 0.000
F 0.206 0.206 0.794
F 0.206 0.794 0.206
F 0.206 0.794 0.794
F 0.794 0.206 0.206
F 0.794 0.206 0.794
F 0.794 0.794 0.206

- Spin magnetization: 0.33 μB/atom
- Crystal system: cubic
- E_form (uncorrected): -2.727 eV/atom

(5)
Compound: Cs3MnF7
Source: the Alexandria database
Functional: PBEsol
Structure: relaxed

Cell lengths 8.285, 8.285, 6.168 Å; angles 90.00, 90.00, 90.00 degrees
Fractional coordinates of all 22 atoms:
Cs 0.000 0.000 0.000
Cs 0.190 0.310 0.500
Cs 0.310 0.810 0.500
Cs 0.500 0.500 0.000
Cs 0.690 0.190 0.500
Cs 0.810 0.690 0.500
Mn 0.000 0.500 0.000
Mn 0.500 0.000 0.000
F 0.000 0.000 0.500
F 0.109 0.609 0.211
F 0.109 0.609 0.789
F 0.155 0.345 0.000
F 0.345 0.845 0.000
F 0.391 0.109 0.211
F 0.391 0.109 0.789
F 0.500 0.500 0.500
F 0.609 0.891 0.211
F 0.609 0.891 0.789
F 0.655 0.155 0.000
F 0.845 0.655 0.000
F 0.891 0.391 0.211
F 0.891 0.391 0.789

- Spin magnetization: 0.29 μB/atom
- Crystal system: tetragonal
- E_form (uncorrected): -2.715 eV/atom

(6)
Compound: CsMnN2F
Source: the Alexandria database
Functional: PBEsol
Structure: relaxed

Cell lengths 4.316, 4.316, 4.817 Å; angles 90.00, 90.00, 90.00 degrees
Fractional coordinates of all 5 atoms:
Cs 0.000 0.000 0.000
Mn 0.500 0.500 0.500
N 0.000 0.500 0.000
N 0.500 0.000 0.000
F 0.000 0.000 0.500

- Spin magnetization: 0.98 μB/atom
- Crystal system: tetragonal
- E_form (uncorrected): 1.769 eV/atom

(7)
Compound: Cs2NaMnF6
Source: the Alexandria database
Functional: PBEsol
Structure: relaxed

Cell lengths 10.795, 10.795, 10.795 Å; angles 33.43, 33.43, 33.43 degrees
Fractional coordinates of all 20 atoms:
Cs 0.124 0.124 0.124
Cs 0.288 0.288 0.288
Cs 0.712 0.712 0.712
Cs 0.876 0.876 0.876
Na 0.405 0.405 0.405
Na 0.595 0.595 0.595
Mn 0.000 0.000 0.000
Mn 0.500 0.500 0.500
F 0.185 0.604 0.604
F 0.190 0.190 0.733
F 0.190 0.733 0.190
F 0.267 0.810 0.810
F 0.396 0.396 0.815
F 0.396 0.815 0.396
F 0.604 0.185 0.604
F 0.604 0.604 0.185
F 0.733 0.190 0.190
F 0.810 0.267 0.810
F 0.810 0.810 0.267
F 0.815 0.396 0.396

- Spin magnetization: 0.10 μB/atom
- Crystal system: trigonal
- Relative energy among the computed polymorphs: 1.4 kJ/mol of atoms
- E_form (uncorrected): -2.684 eV/atom

(8)
Compound: Cs2NaMnF6
Source: the Alexandria database
Functional: PBEsol
Structure: relaxed

Cell lengths 6.122, 6.122, 6.122 Å; angles 60.00, 60.00, 60.00 degrees
Fractional coordinates of all 10 atoms:
Cs 0.250 0.250 0.250
Cs 0.750 0.750 0.750
Na 0.000 0.000 0.000
Mn 0.500 0.500 0.500
F 0.275 0.275 0.725
F 0.275 0.725 0.275
F 0.275 0.725 0.725
F 0.725 0.275 0.275
F 0.725 0.275 0.725
F 0.725 0.725 0.275

- Spin magnetization: 0.40 μB/atom
- Crystal system: cubic
- Relative energy among the computed polymorphs: 0.0 kJ/mol of atoms
- E_form (uncorrected): -2.698 eV/atom

(9)
Compound: CsMnVF6
Source: the Alexandria database
Functional: PBEsol
Structure: relaxed

Cell lengths 7.445, 7.445, 7.445 Å; angles 120.22, 120.04, 89.77 degrees
Fractional coordinates of all 18 atoms:
Cs 0.378 0.128 0.250
Cs 0.622 0.872 0.750
Mn 0.000 0.500 0.500
Mn 0.500 0.500 0.000
V 0.000 0.000 0.500
V 0.000 0.500 0.000
F 0.055 0.805 0.250
F 0.064 0.419 0.230
F 0.064 0.834 0.645
F 0.311 0.166 0.730
F 0.311 0.581 0.145
F 0.330 0.580 0.750
F 0.670 0.420 0.250
F 0.689 0.419 0.855
F 0.689 0.834 0.270
F 0.936 0.166 0.355
F 0.936 0.581 0.770
F 0.945 0.195 0.750

- Spin magnetization: 0.78 μB/atom
- Crystal system: orthorhombic
- E_form (uncorrected): -2.701 eV/atom

(10)
Compound: Cs3Mo2O6F3
Source: the Alexandria database
Functional: PBEsol
Structure: relaxed

Cell lengths 6.323, 6.323, 15.288 Å; angles 90.00, 90.00, 120.00 degrees
Fractional coordinates of all 28 atoms:
Cs 0.333 0.667 0.057
Cs 0.333 0.667 0.443
Cs 0.333 0.667 0.750
Cs 0.667 0.333 0.250
Cs 0.667 0.333 0.557
Cs 0.667 0.333 0.943
Mo 0.000 0.000 0.142
Mo 0.000 0.000 0.358
Mo 0.000 0.000 0.642
Mo 0.000 0.000 0.858
O 0.145 0.291 0.597
O 0.145 0.291 0.903
O 0.145 0.855 0.597
O 0.145 0.855 0.903
O 0.291 0.145 0.097
O 0.291 0.145 0.403
O 0.709 0.855 0.597
O 0.709 0.855 0.903
O 0.855 0.145 0.097
O 0.855 0.145 0.403
O 0.855 0.709 0.097
O 0.855 0.709 0.403
F 0.130 0.260 0.250
F 0.130 0.870 0.250
F 0.260 0.130 0.750
F 0.740 0.870 0.250
F 0.870 0.130 0.750
F 0.870 0.740 0.750

- Spin magnetization: 0.01 μB/atom
- Crystal system: hexagonal
- E_form (uncorrected): -2.376 eV/atom

(11)
Compound: CsNF2
Source: the Alexandria database
Functional: PBEsol
Structure: relaxed

Cell lengths 3.961, 3.961, 14.641 Å; angles 90.00, 90.00, 120.00 degrees
Fractional coordinates of all 12 atoms:
Cs 0.000 0.000 0.000
Cs 0.333 0.667 0.667
Cs 0.667 0.333 0.333
N 0.000 0.000 0.500
N 0.333 0.667 0.167
N 0.667 0.333 0.833
F 0.000 0.000 0.211
F 0.000 0.000 0.789
F 0.333 0.667 0.456
F 0.333 0.667 0.878
F 0.667 0.333 0.122
F 0.667 0.333 0.544

- Spin magnetization: 0.50 μB/atom
- Crystal system: trigonal
- E_form (uncorrected): -0.072 eV/atom

(12)
Compound: CsNbN2F
Source: the Alexandria database
Functional: PBEsol
Structure: relaxed

Cell lengths 4.409, 4.409, 4.665 Å; angles 90.00, 90.00, 90.00 degrees
Fractional coordinates of all 5 atoms:
Cs 0.000 0.000 0.000
Nb 0.500 0.500 0.500
N 0.000 0.500 0.000
N 0.500 0.000 0.000
F 0.000 0.000 0.500

- Spin magnetization: 0.41 μB/atom
- Crystal system: tetragonal
- E_form (uncorrected): 1.970 eV/atom

(13)
Compound: CsN2OF
Source: the Alexandria database
Functional: PBEsol
Structure: relaxed

Cell lengths 3.731, 3.731, 6.525 Å; angles 90.00, 90.00, 90.00 degrees
Fractional coordinates of all 5 atoms:
Cs 0.000 0.000 0.000
N 0.000 0.500 0.500
N 0.500 0.000 0.500
O 0.500 0.500 0.500
F 0.500 0.500 0.000

- Spin magnetization: 0.68 μB/atom
- Crystal system: tetragonal
- E_form (uncorrected): 1.099 eV/atom

(14)
Compound: CsRhN2F
Source: the Alexandria database
Functional: PBEsol
Structure: relaxed

Cell lengths 3.771, 3.771, 5.924 Å; angles 90.00, 90.00, 90.00 degrees
Fractional coordinates of all 5 atoms:
Cs 0.000 0.000 0.000
Rh 0.500 0.500 0.500
N 0.000 0.500 0.500
N 0.500 0.000 0.500
F 0.500 0.500 0.000

- Spin magnetization: 0.00 μB/atom
- Crystal system: tetragonal
- E_form (uncorrected): -0.063 eV/atom

(15)
Compound: CsScN2F
Source: the Alexandria database
Functional: PBEsol
Structure: relaxed

Cell lengths 4.410, 4.410, 4.690 Å; angles 90.00, 90.00, 90.00 degrees
Fractional coordinates of all 5 atoms:
Cs 0.000 0.000 0.000
Sc 0.500 0.500 0.500
N 0.000 0.500 0.000
N 0.500 0.000 0.000
F 0.000 0.000 0.500

- Spin magnetization: 0.02 μB/atom
- Crystal system: tetragonal
- E_form (uncorrected): 1.057 eV/atom

(16)
Compound: CsSiNF2
Source: the Alexandria database
Functional: PBEsol
Structure: relaxed

Cell lengths 4.942, 4.942, 4.547 Å; angles 90.00, 90.00, 90.00 degrees
Fractional coordinates of all 5 atoms:
Cs 0.000 0.000 0.000
Si 0.500 0.500 0.500
N 0.000 0.000 0.500
F 0.000 0.500 0.000
F 0.500 0.000 0.000

- Spin magnetization: 0.05 μB/atom
- Crystal system: tetragonal
- E_form (uncorrected): 0.664 eV/atom

(17)
Compound: CsSrNF2
Source: the Alexandria database
Functional: PBEsol
Structure: relaxed

Cell lengths 5.017, 5.017, 4.559 Å; angles 90.00, 90.00, 90.00 degrees
Fractional coordinates of all 5 atoms:
Cs 0.000 0.000 0.000
Sr 0.500 0.500 0.500
N 0.000 0.000 0.500
F 0.000 0.500 0.000
F 0.500 0.000 0.000

- Spin magnetization: 0.09 μB/atom
- Crystal system: tetragonal
- E_form (uncorrected): -0.883 eV/atom

(18)
Compound: CsTaN2F
Source: the Alexandria database
Functional: PBEsol
Structure: relaxed

Cell lengths 4.096, 4.096, 4.505 Å; angles 90.00, 90.00, 90.00 degrees
Fractional coordinates of all 5 atoms:
Cs 0.000 0.000 0.000
Ta 0.500 0.500 0.500
N 0.000 0.500 0.500
N 0.500 0.000 0.500
F 0.500 0.500 0.000

- Spin magnetization: 0.14 μB/atom
- Crystal system: tetragonal
- E_form (uncorrected): -0.993 eV/atom

(19)
Compound: CsTeN2F
Source: the Alexandria database
Functional: PBEsol
Structure: relaxed

Cell lengths 4.466, 4.466, 4.705 Å; angles 90.00, 90.00, 90.00 degrees
Fractional coordinates of all 5 atoms:
Cs 0.000 0.000 0.000
Te 0.500 0.500 0.500
N 0.000 0.500 0.000
N 0.500 0.000 0.000
F 0.000 0.000 0.500

- Spin magnetization: 0.00 μB/atom
- Crystal system: tetragonal
- E_form (uncorrected): 1.697 eV/atom

(20)
Compound: CsZrNF2
Source: the Alexandria database
Functional: PBEsol
Structure: relaxed

Cell lengths 4.872, 4.872, 4.545 Å; angles 90.00, 90.00, 90.00 degrees
Fractional coordinates of all 5 atoms:
Cs 0.000 0.000 0.000
Zr 0.500 0.500 0.500
N 0.000 0.000 0.500
F 0.000 0.500 0.000
F 0.500 0.000 0.000

- Spin magnetization: 0.30 μB/atom
- Crystal system: tetragonal
- E_form (uncorrected): 0.393 eV/atom